16
Lattice="-4.478 6.231 -0.393 0.786 -7.576 -1.008 -4.238 -2.208 13.287" Properties=species:S:1:pos:R:3 comment="CsGd2CuTeS3 PBE relaxed" energy_ry_per_atom=-0.384 space_group="Cmcm, No. 63" vol_a3_per_atom=27.22 pbc="T T T"
S -4.362 -5.950 10.995
S -2.420 -2.498 2.564
S -3.568 2.397 0.890
S -5.510 -1.055 9.321
S -4.766 1.773 4.647
S -3.164 -5.325 7.239
Te 0.000 0.000 0.000
Te -2.119 -1.104 6.643
Gd -6.580 -0.684 11.785
Gd -1.350 -2.869 0.101
Gd -5.030 0.123 6.927
Gd -2.899 -3.676 4.959
Cu -4.626 3.290 2.822
Cu -3.303 -6.843 9.063
Cs -7.145 3.233 9.512
Cs -0.785 -6.786 2.373